[1]
A geometry-optimized NaHgB structure, computed with PBE.

Cell: 6.014 6.014 6.014 Å, 90.00 90.00 90.00°
Space group F-43m (No. 216)
Symmetry-distinct sites (fractional):
Na1 0.000 0.000 0.000
Hg1 0.000 0.000 0.500
B1 0.250 0.250 0.750

Energy relative to the lowest polymorph listed for this composition: 0 meV/atom
DFT total energy: -23.03 eV for the cell shown



[2]
A geometry-optimized NbHgB4 structure, computed with PBE.

Cell: 3.0479 3.0479 8.9127 Å, 90.00 90.00 120.00°
Space group P6/mmm (No. 191)
Symmetry-distinct sites (fractional):
Nb1 0.0000 0.0000 0.0000
Hg1 0.0000 0.0000 0.5000
B1 0.3333 0.6667 0.1855

Energy relative to the lowest polymorph listed for this composition: 0 meV/atom
DFT total energy: -37.20 eV for the cell shown
M_tot: 0.010 Bohr magnetons per cell



[3]
A geometry-optimized NbHgB4 structure, computed with PBE.

Cell: 3.089 5.198 7.856 Å, 90.00 90.00 90.00°
Space group Immm (No. 71)
Symmetry-distinct sites (fractional):
Nb1 0.000 0.000 0.000
Hg1 0.000 0.000 0.500
B1 0.000 0.330 0.260

Energy relative to the lowest polymorph listed for this composition: 256 meV/atom
DFT total energy: -71.33 eV for the cell shown
M_tot: 0.003 Bohr magnetons per cell



[4]
A geometry-optimized NbNiHgB structure, computed with PBE.

Cell: 6.180 6.180 6.180 Å, 90.00 90.00 90.00°
Space group F-43m (No. 216)
Symmetry-distinct sites (fractional):
Nb1 0.000 0.000 0.000
Ni1 0.250 0.250 0.750
Hg1 0.250 0.250 0.250
B1 0.000 0.000 0.500

Energy relative to the lowest polymorph listed for this composition: 455 meV/atom
DFT total energy: -74.30 eV for the cell shown
M_tot: 0.012 Bohr magnetons per cell



[5]
A geometry-optimized NbNiHgB structure, computed with PBE.

Cell: 6.050 6.050 6.050 Å, 90.00 90.00 90.00°
Space group F-43m (No. 216)
Symmetry-distinct sites (fractional):
Nb1 0.000 0.000 0.000
Ni1 0.250 0.250 0.250
Hg1 0.000 0.000 0.500
B1 0.250 0.250 0.750

Energy relative to the lowest polymorph listed for this composition: 0 meV/atom
DFT total energy: -81.58 eV for the cell shown
M_tot: 0.006 Bohr magnetons per cell



[6]
A geometry-optimized NbNiHgB structure, computed with PBE.

Cell: 6.118 6.118 6.118 Å, 90.00 90.00 90.00°
Space group F-43m (No. 216)
Symmetry-distinct sites (fractional):
Nb1 0.000 0.000 0.000
Ni1 0.000 0.000 0.500
Hg1 0.250 0.250 0.750
B1 0.250 0.250 0.250

Energy relative to the lowest polymorph listed for this composition: 169 meV/atom
DFT total energy: -78.88 eV for the cell shown
M_tot: 0.101 Bohr magnetons per cell



[7]
A geometry-optimized NiHgB4 structure, computed with PBE.

Cell: 2.818 5.446 7.868 Å, 90.00 90.00 90.00°
Space group Immm (No. 71)
Symmetry-distinct sites (fractional):
Ni1 0.000 0.000 0.000
Hg1 0.000 0.000 0.500
B1 0.000 0.346 0.271

Energy relative to the lowest polymorph listed for this composition: 261 meV/atom
DFT total energy: -57.59 eV for the cell shown
M_tot: 0.004 Bohr magnetons per cell



[8]
A geometry-optimized Ni2HgB structure, computed with PBE.

Cell: 5.807 5.807 5.807 Å, 90.00 90.00 90.00°
Space group F-43m (No. 216)
Symmetry-distinct sites (fractional):
Ni1 0.000 0.000 0.000
Ni2 0.250 0.250 0.250
Hg1 0.250 0.250 0.750
B1 0.000 0.000 0.500

DFT total energy: -60.11 eV for the cell shown
M_tot: 0.017 Bohr magnetons per cell